# 1
This record from Alexandria describes MnZn2Ir after structural relaxation. The functional is GGA-PBEsol.

Cell: 2.7203 2.7203 25.2765 Å, 90.00 90.00 120.00°
Space group R-3m (No. 166, hexagonal axes)
Inequivalent atoms, fractional coordinates:
1 Mn 0.0000 0.0000 0.0000 [3 per cell]
2 Zn 0.0000 0.0000 0.2503 [6 per cell]
3 Ir 0.0000 0.0000 0.5000 [3 per cell]

## Properties
The value obtained for the size of the total moment is 9.1 μB per cell. The formation energy comes out at 47.8 meV per atom. The value obtained for the density of states at the Fermi level is 2.8 states/eV/f.u.

***

# 2
This record from Alexandria describes SrSc2Zn after structural relaxation. The functional is GGA-PBEsol.

Cell: 3.520 3.520 8.305 Å, 90.00 90.00 90.00°
Space group P4mm (No. 99)
Inequivalent atoms, fractional coordinates:
1 Sr 0.000 0.000 0.000 [1 per cell]
2 Sc 0.000 0.000 0.574 [1 per cell]
3 Sc 0.500 0.500 0.345 [1 per cell]
4 Zn 0.500 0.500 0.730 [1 per cell]

## Properties
The value obtained for the size of the total moment is 0.9 μB per cell. The formation energy comes out at -13.8 meV per atom. The value obtained for the density of states at the Fermi level is 4.6 states/eV/f.u.

***

> Look up the size of the total moment of the second one.

0.9 μB per cell

***

> What is the size of the total moment in the first record?

9.1 μB per cell